First-principles (PBE with a Hubbard U) data for a relaxed AcFeAg2F8 crystal, as listed in Alexandria.

Cell lengths 4.4507, 7.4229, 5.7706 Å; angles 90.00, 93.88, 90.00 degrees
Sites, in units of the cell vectors:
Ac: 0.0000 0.0000 0.0000
Fe: 0.0000 0.5000 0.0000
Ag: 0.5000 0.2764 0.5000
Ag: 0.5000 0.7236 0.5000
F: 0.1119 0.2908 0.7996
F: 0.1119 0.7092 0.7996
F: 0.3607 0.5000 0.2013
F: 0.4829 0.0000 0.2376
F: 0.5171 0.0000 0.7624
F: 0.6393 0.5000 0.7987
F: 0.8881 0.2908 0.2004
F: 0.8881 0.7092 0.2004

electronic total energy	-5.028	eV per atom
magnetization	4.93	μB per formula unit